Entry 1:
{"formula": "Mg3Tl2Bi", "functional": "PBE-GGA", "state": "optimized geometry", "volume_a3_per_cell": 312.9, "formation_enthalpy_0k_ev_per_atom": -0.041, "relative_energy_mev_per_atom": 10, "total_magnetization_mub_per_fu": 0.00, "density_g_cm3": 7.33, "crystal_system": "monoclinic", "lattice_angstrom": [[5.101, -3.240, 0.000], [5.101, 3.240, 0.000], [-4.929, 0.000, 9.466]], "species": ["Mg", "Mg", "Mg", "Mg", "Mg", "Mg", "Tl", "Tl", "Tl", "Tl", "Bi", "Bi"], "frac_coords": [[0.123, 0.877, 0.750], [0.205, 0.453, 0.909], [0.453, 0.205, 0.409], [0.547, 0.795, 0.591], [0.795, 0.547, 0.091], [0.877, 0.123, 0.250], [0.042, 0.287, 0.578], [0.287, 0.042, 0.078], [0.713, 0.958, 0.922], [0.958, 0.713, 0.422], [0.379, 0.621, 0.250], [0.621, 0.379, 0.750]]}

---

Entry 2:
{"formula": "NdNi5Sb3", "functional": "PBE-GGA", "state": "optimized geometry", "volume_a3_per_cell": 318.5, "total_magnetization_mub_per_fu": 0.00, "density_g_cm3": 8.37, "e_form_raw_ev_per_fu": -3.36, "crystal_system": "orthorhombic", "lattice_angstrom": [[2.021, -6.453, 0.000], [2.021, 6.453, 0.000], [0.000, 0.000, 12.211]], "species": ["Nd", "Nd", "Ni", "Ni", "Ni", "Ni", "Ni", "Ni", "Ni", "Ni", "Ni", "Ni", "Sb", "Sb", "Sb", "Sb", "Sb", "Sb"], "frac_coords": [[0.188, 0.812, 0.750], [0.812, 0.188, 0.250], [0.000, 0.000, 0.000], [0.000, 0.000, 0.500], [0.186, 0.814, 0.066], [0.186, 0.814, 0.434], [0.453, 0.547, 0.643], [0.453, 0.547, 0.857], [0.547, 0.453, 0.143], [0.547, 0.453, 0.357], [0.814, 0.186, 0.566], [0.814, 0.186, 0.934], [0.099, 0.901, 0.250], [0.375, 0.625, 0.048], [0.375, 0.625, 0.452], [0.625, 0.375, 0.548], [0.625, 0.375, 0.952], [0.901, 0.099, 0.750]]}

---

Entry 3:
{"formula": "NbAlIn3", "functional": "PBE-GGA", "state": "optimized geometry", "volume_a3_per_cell": 160.1, "formation_enthalpy_0k_ev_per_atom": 0.733, "relative_energy_mev_per_atom": 0, "total_magnetization_mub_per_fu": 0.00, "density_g_cm3": 4.81, "crystal_system": "cubic", "lattice_angstrom": [[5.431, 0.000, 0.000], [0.000, 5.431, 0.000], [0.000, 0.000, 5.431]], "species": ["Nb", "Al", "In", "In", "In"], "frac_coords": [[0.000, 0.000, 0.000], [0.500, 0.500, 0.500], [0.000, 0.000, 0.500], [0.000, 0.500, 0.000], [0.500, 0.000, 0.000]]}

---

Entry 4:
{"formula": "Ho5TmIr6", "functional": "PBE-GGA", "state": "optimized geometry", "volume_a3_per_cell": 236.7, "formation_enthalpy_0k_ev_per_atom": -0.862, "total_magnetization_mub_per_fu": 0.00, "density_g_cm3": 15.06, "crystal_system": "monoclinic", "lattice_angstrom": [[4.702, 0.000, 0.000], [0.000, 7.127, 0.000], [-2.343, 0.000, 7.062]], "species": ["Ho", "Ho", "Ho", "Ho", "Ho", "Tm", "Ir", "Ir", "Ir", "Ir", "Ir", "Ir"], "frac_coords": [[0.000, 0.000, 0.000], [0.333, 0.000, 0.667], [0.334, 0.500, 0.667], [0.666, 0.500, 0.333], [0.667, 0.000, 0.333], [0.000, 0.500, 0.000], [0.166, 0.251, 0.332], [0.166, 0.749, 0.332], [0.500, 0.252, 0.000], [0.500, 0.748, 0.000], [0.834, 0.251, 0.668], [0.834, 0.749, 0.668]]}

---

Entry 5:
{"formula": "AcPm2HoTm", "functional": "PBE-GGA", "state": "optimized geometry", "volume_a3_per_cell": 349.9, "formation_enthalpy_0k_ev_per_atom": 0.045, "total_magnetization_mub_per_fu": 0.00, "density_g_cm3": 8.08, "crystal_system": "monoclinic", "lattice_angstrom": [[6.416, 0.000, 0.000], [0.000, 5.868, 0.000], [-3.149, 0.000, 9.295]], "species": ["Ac", "Ac", "Pm", "Pm", "Pm", "Pm", "Ho", "Ho", "Tm", "Tm"], "frac_coords": [[0.137, 0.250, 0.106], [0.863, 0.750, 0.894], [0.266, 0.750, 0.699], [0.338, 0.250, 0.502], [0.662, 0.750, 0.498], [0.734, 0.250, 0.301], [0.477, 0.750, 0.106], [0.523, 0.250, 0.894], [0.066, 0.750, 0.310], [0.934, 0.250, 0.690]]}

---

Entry 6:
{"formula": "Ho4HgI5", "functional": "PBE-GGA", "state": "optimized geometry", "volume_a3_per_cell": 351.6, "total_magnetization_mub_per_fu": 0.00, "density_g_cm3": 7.06, "e_form_raw_ev_per_fu": -9.65, "crystal_system": "monoclinic", "lattice_angstrom": [[9.540, -2.113, 0.000], [9.540, 2.113, 0.000], [-1.844, 0.000, 8.720]], "species": ["Ho", "Ho", "Ho", "Ho", "Hg", "I", "I", "I", "I", "I"], "frac_coords": [[0.001, 0.001, 0.222], [0.347, 0.347, 0.925], [0.653, 0.653, 0.075], [0.999, 0.999, 0.778], [0.500, 0.500, 0.000], [0.168, 0.168, 0.336], [0.174, 0.174, 0.827], [0.500, 0.500, 0.500], [0.826, 0.826, 0.173], [0.832, 0.832, 0.664]]}